No. 1
The following is a PBE calculation of K3LaTa after structural relaxation, from the Alexandria database.

Lattice parameters (Å, degrees): 6.530 6.530 6.530 90.00 90.00 90.00
Space group Pm-3m (No. 221)
One atom of each set of equivalent atoms:
K  0.000  0.000  0.500 x3
La  0.000  0.000  0.000 x1
Ta  0.500  0.500  0.500 x1

Output
E_tot in eV per atom: -1.8719
Calculated volume in Å³/cell: 278.4

---

No. 2
The following is a PBE calculation of K2LaTa after structural relaxation, from the Alexandria database.

Lattice parameters (Å, degrees): 3.2703 3.2703 42.0864 90.00 90.00 120.00
Space group R-3m (No. 166, hexagonal axes)
One atom of each set of equivalent atoms:
K  0.0000  0.0000  0.2419 x6
La  0.0000  0.0000  0.0000 x3
Ta  0.0000  0.0000  0.5000 x3

Output
E_tot in eV per atom: -3.6473
Calculated volume in Å³/cell: 389.8
Distance to the lowest polymorph of the same formula in meV/atom: 297

---

No. 3
The following is a PBE calculation of K2LaTa after structural relaxation, from the Alexandria database.

Lattice parameters (Å, degrees): 3.311 5.570 14.059 90.00 90.00 90.00
Space group Cmmm (No. 65)
One atom of each set of equivalent atoms:
K  0.000  0.000  0.227 x4
La  0.000  0.500  0.500 x2
Ta  0.000  0.500  0.000 x2

Output
E_tot in eV per atom: -3.6501
Calculated volume in Å³/cell: 259.3
Distance to the lowest polymorph of the same formula in meV/atom: 294

---

No. 4
The following is a PBE calculation of KLaTa after structural relaxation, from the Alexandria database.

Lattice parameters (Å, degrees): 7.784 7.784 7.784 90.00 90.00 90.00
Space group F-43m (No. 216)
One atom of each set of equivalent atoms:
K  0.000  0.000  0.000 x4
La  0.000  0.000  0.500 x4
Ta  0.250  0.250  0.750 x4

Output
E_tot in eV per atom: -4.2556
Calculated volume in Å³/cell: 471.7
Distance to the lowest polymorph of the same formula in meV/atom: 885

---

What did the fourth record say?
The following is a PBE calculation of KLaTa after structural relaxation, from the Alexandria database.

Lattice parameters (Å, degrees): 7.784 7.784 7.784 90.00 90.00 90.00
Space group F-43m (No. 216)
One atom of each set of equivalent atoms:
K  0.000  0.000  0.000 x4
La  0.000  0.000  0.500 x4
Ta  0.250  0.250  0.750 x4

Output
E_tot in eV per atom: -4.2556
Calculated volume in Å³/cell: 471.7
Distance to the lowest polymorph of the same formula in meV/atom: 885